A plane-wave DFT calculation with GGA-PBE was carried out for a relaxed structure of Sr2Li5Pd4.

The electronic total energy is -3.409 eV/atom. As for the energy of formation from the pure elements: -0.35 eV/atom. The value obtained for the offset from the most stable computed form is 31.4 meV per atom. For the density of states at the Fermi level, the calculation gives 0.362 states/eV/atom.

The structure belongs to space group C2/m (No. 12); the cell edges are 12.738, 5.548 and 8.322 Å and the angles 90.00°, 126.38° and 90.00°. The distinct sites, in fractional coordinates, are Sr at (0.221, 0.000, 0.282), Li at (0.000, 0.500, 0.000), Li at (0.050, 0.243, 0.739), Pd at (0.131, 0.000, 0.560) and Pd at (0.221, 0.500, 0.035).

A plane-wave DFT calculation with GGA-PBE was carried out for a relaxed structure of SrLiPd3.

The electronic total energy is -4.183 eV/atom. As for the energy of formation from the pure elements: -0.35 eV/atom. The value obtained for the offset from the most stable computed form is 0.0 meV per atom. For the density of states at the Fermi level, the calculation gives 0.243 states/eV/atom.

The structure belongs to space group P6_3/mmc (No. 194); the cell edges are 6.3126, 6.3126 and 5.3907 Å and the angles 90.00°, 90.00° and 120.00°. The distinct sites, in fractional coordinates, are Sr at (0.3333, 0.6667, 0.2500), Li at (0.0000, 0.0000, 0.0000) and Pd at (0.1840, 0.3680, 0.7500).

A plane-wave DFT calculation with GGA-PBE was carried out for a relaxed structure of Sr2Li4Pd.

The electronic total energy is -2.367 eV/atom. As for the energy of formation from the pure elements: -0.05 eV/atom. For the density of states at the Fermi level, the calculation gives 0.677 states/eV/atom.

The structure belongs to space group I4/mmm (No. 139); the cell edges are 4.943, 4.943 and 16.885 Å and the angles 90.00°, 90.00° and 90.00°. The distinct sites, in fractional coordinates, are Sr at (0.000, 0.000, 0.147), Li at (0.000, 0.000, 0.356), Li at (0.000, 0.500, 0.000) and Pd at (0.000, 0.000, 0.500).

A plane-wave DFT calculation with GGA-PBE was carried out for a relaxed structure of SrLi4Pd.

The electronic total energy is -2.506 eV/atom. As for the energy of formation from the pure elements: -0.08 eV/atom. The value obtained for the offset from the most stable computed form is 60.9 meV per atom. For the density of states at the Fermi level, the calculation gives 0.062 states/eV/atom.

The structure belongs to space group F-43m (No. 216); the cell edges are 7.882, 7.882 and 7.882 Å and the angles 90.00°, 90.00° and 90.00°. The distinct sites, in fractional coordinates, are Sr at (0.000, 0.000, 0.000), Li at (0.122, 0.122, 0.378) and Pd at (0.250, 0.250, 0.750).

A plane-wave DFT calculation with GGA-PBE was carried out for a relaxed structure of Sr2Li5Pd5.

The electronic total energy is -3.699 eV/atom. As for the energy of formation from the pure elements: -0.46 eV/atom. For the density of states at the Fermi level, the calculation gives 0.417 states/eV/atom.

The structure belongs to space group Pmmm (No. 47); the cell edges are 4.049, 5.700 and 9.581 Å and the angles 90.00°, 90.00° and 90.00°. The distinct sites, in fractional coordinates, are Sr at (0.000, 0.000, 0.000), Sr at (0.000, 0.500, 0.500), Li at (0.000, 0.000, 0.317), Li at (0.000, 0.500, 0.166), Li at (0.500, 0.000, 0.500), Pd at (0.500, 0.251, 0.255) and Pd at (0.500, 0.500, 0.000).

A plane-wave DFT calculation with GGA-PBE was carried out for a relaxed structure of Sr2Li5Pd4.

The electronic total energy is -3.441 eV/atom. As for the energy of formation from the pure elements: -0.38 eV/atom. The value obtained for the offset from the most stable computed form is 0.0 meV per atom. For the density of states at the Fermi level, the calculation gives 0.295 states/eV/atom.

The structure belongs to space group Fmmm (No. 69); the cell edges are 5.839, 9.863 and 15.294 Å and the angles 90.00°, 90.00° and 90.00°. The distinct sites, in fractional coordinates, are Sr at (0.000, 0.000, 0.151), Li at (0.000, 0.000, 0.500), Li at (0.250, 0.250, 0.000), Li at (0.250, 0.250, 0.250) and Pd at (0.000, 0.144, 0.366).